<A>
A plane-wave DFT calculation with GGA-PBEsol was carried out for crystalline Be2Fe at its relaxed geometry. Values from VASP.

Quantum ESPRESSO input file:
```
&SYSTEM
  ibrav = 0, nat = 24, ntyp = 2
/
ATOMIC_SPECIES
Be 9.01 Be.upf
Fe 55.84 Fe.upf
CELL_PARAMETERS angstrom
4.124 0.000 0.000
-2.062 3.571 0.000
0.000 0.000 13.468
ATOMIC_POSITIONS crystal
Be 0.000 0.500 0.000
Be 0.000 0.500 0.500
Be 0.163 0.326 0.250
Be 0.163 0.837 0.250
Be 0.326 0.163 0.750
Be 0.333 0.667 0.126
Be 0.333 0.667 0.374
Be 0.500 0.000 0.000
Be 0.500 0.000 0.500
Be 0.500 0.500 0.000
Be 0.500 0.500 0.500
Be 0.667 0.333 0.626
Be 0.667 0.333 0.874
Be 0.674 0.837 0.250
Be 0.837 0.163 0.750
Be 0.837 0.674 0.750
Fe 0.000 0.000 0.094
Fe 0.000 0.000 0.406
Fe 0.000 0.000 0.594
Fe 0.000 0.000 0.906
Fe 0.333 0.667 0.656
Fe 0.333 0.667 0.844
Fe 0.667 0.333 0.156
Fe 0.667 0.333 0.344
```

D(E_F) = 1.16 states/eV/f.u.

---

<B>
A plane-wave DFT calculation with GGA-PBEsol was carried out for crystalline Be2Fe at its relaxed geometry. Values from VASP.

Quantum ESPRESSO input file:
```
&SYSTEM
  ibrav = 0, nat = 12, ntyp = 2
/
ATOMIC_SPECIES
Be 9.01 Be.upf
Fe 55.84 Fe.upf
CELL_PARAMETERS angstrom
-1.593 1.593 10.002
1.593 -1.593 10.002
1.593 1.593 -10.002
ATOMIC_POSITIONS crystal
Be 0.125 0.375 0.750
Be 0.289 0.539 0.750
Be 0.375 0.125 0.250
Be 0.461 0.711 0.750
Be 0.539 0.289 0.250
Be 0.625 0.875 0.750
Be 0.711 0.461 0.250
Be 0.875 0.625 0.250
Fe 0.049 0.799 0.250
Fe 0.201 0.951 0.250
Fe 0.799 0.049 0.750
Fe 0.951 0.201 0.750
```

D(E_F) = 1.24 states/eV/f.u.

---

Energy ordering: <A> at the bottom, the next structure 77 meV per atom above.

---

<A>
A plane-wave DFT calculation with GGA-PBEsol was carried out for crystalline Be2Fe at its relaxed geometry. Values from VASP.

Quantum ESPRESSO input file:
```
&SYSTEM
  ibrav = 0, nat = 6, ntyp = 2
/
ATOMIC_SPECIES
Be 9.01 Be.upf
Fe 55.84 Fe.upf
CELL_PARAMETERS angstrom
0.000 2.913 2.913
2.913 0.000 2.913
2.913 2.913 0.000
ATOMIC_POSITIONS crystal
Be 0.000 0.000 0.000
Be 0.000 0.000 0.500
Be 0.000 0.500 0.000
Be 0.500 0.000 0.000
Fe 0.375 0.375 0.375
Fe 0.625 0.625 0.625
```

D(E_F) = 1.05 states/eV/f.u.

---

<B>
A plane-wave DFT calculation with GGA-PBEsol was carried out for crystalline Be2Fe at its relaxed geometry. Values from VASP.

Quantum ESPRESSO input file:
```
&SYSTEM
  ibrav = 0, nat = 6, ntyp = 2
/
ATOMIC_SPECIES
Be 9.01 Be.upf
Fe 55.84 Fe.upf
CELL_PARAMETERS angstrom
4.021 -1.287 0.000
4.021 1.287 0.000
-1.669 0.000 4.862
ATOMIC_POSITIONS crystal
Be 0.009 0.009 0.252
Be 0.336 0.336 0.930
Be 0.664 0.664 0.070
Be 0.991 0.991 0.748
Fe 0.332 0.332 0.403
Fe 0.668 0.668 0.597
```

D(E_F) = 1.82 states/eV/f.u.

---

<C>
A plane-wave DFT calculation with GGA-PBEsol was carried out for crystalline Be2Fe at its relaxed geometry. Values from VASP.

Quantum ESPRESSO input file:
```
&SYSTEM
  ibrav = 0, nat = 6, ntyp = 2
/
ATOMIC_SPECIES
Be 9.01 Be.upf
Fe 55.84 Fe.upf
CELL_PARAMETERS angstrom
3.989 -1.316 0.000
3.989 1.316 0.000
-1.545 0.000 4.778
ATOMIC_POSITIONS crystal
Be 0.000 0.000 0.000
Be 0.000 0.000 0.500
Be 0.334 0.334 0.665
Be 0.666 0.666 0.335
Fe 0.339 0.339 0.175
Fe 0.661 0.661 0.825
```

D(E_F) = 1.83 states/eV/f.u.

---

Energy ordering: <A> at the bottom, the next structure 122 meV per atom above.

---

<A>
A plane-wave DFT calculation with GGA-PBEsol was carried out for crystalline BeFe2Hg at its relaxed geometry. Values from VASP.

Quantum ESPRESSO input file:
```
&SYSTEM
  ibrav = 0, nat = 4, ntyp = 3
/
ATOMIC_SPECIES
Be 9.01 Be.upf
Fe 55.84 Fe.upf
Hg 200.59 Hg.upf
CELL_PARAMETERS angstrom
0.000 2.931 2.931
2.931 0.000 2.931
2.931 2.931 0.000
ATOMIC_POSITIONS crystal
Be 0.000 0.000 0.000
Fe 0.500 0.500 0.500
Fe 0.750 0.750 0.750
Hg 0.250 0.250 0.250
```

D(E_F) = 2.49 states/eV/f.u.

---

<B>
A plane-wave DFT calculation with GGA-PBEsol was carried out for crystalline BeFe2Hg at its relaxed geometry. Values from VASP.

Quantum ESPRESSO input file:
```
&SYSTEM
  ibrav = 0, nat = 4, ntyp = 3
/
ATOMIC_SPECIES
Be 9.01 Be.upf
Fe 55.84 Fe.upf
Hg 200.59 Hg.upf
CELL_PARAMETERS angstrom
2.511 -3.861 0.000
2.511 3.861 0.000
0.000 0.000 2.674
ATOMIC_POSITIONS crystal
Be 0.000 0.000 0.000
Fe 0.000 0.500 0.500
Fe 0.500 0.000 0.500
Hg 0.500 0.500 0.000
```

D(E_F) = 1.90 states/eV/f.u.

---

Energy ordering: <A> at the bottom, the next structure 51 meV per atom above.

---

<A>
A plane-wave DFT calculation with GGA-PBEsol was carried out for crystalline LaBe2Fe at its relaxed geometry. Values from VASP.

Quantum ESPRESSO input file:
```
&SYSTEM
  ibrav = 0, nat = 4, ntyp = 3
/
ATOMIC_SPECIES
La 138.91 La.upf
Be 9.01 Be.upf
Fe 55.84 Fe.upf
CELL_PARAMETERS angstrom
0.000 3.159 3.159
3.159 0.000 3.159
3.159 3.159 0.000
ATOMIC_POSITIONS crystal
La 0.000 0.000 0.000
Be 0.250 0.250 0.250
Be 0.750 0.750 0.750
Fe 0.500 0.500 0.500
```

D(E_F) = 3.00 states/eV/f.u.

---

<B>
A plane-wave DFT calculation with GGA-PBEsol was carried out for crystalline LaBe2Fe at its relaxed geometry. Values from VASP.

Quantum ESPRESSO input file:
```
&SYSTEM
  ibrav = 0, nat = 8, ntyp = 3
/
ATOMIC_SPECIES
La 138.91 La.upf
Be 9.01 Be.upf
Fe 55.84 Fe.upf
CELL_PARAMETERS angstrom
-2.062 2.062 7.673
2.062 -2.062 7.673
2.062 2.062 -7.673
ATOMIC_POSITIONS crystal
La 0.375 0.625 0.750
La 0.625 0.375 0.250
Be 0.000 0.000 0.000
Be 0.000 0.000 0.500
Be 0.000 0.500 0.000
Be 0.500 0.000 0.500
Fe 0.125 0.875 0.250
Fe 0.875 0.125 0.750
```

D(E_F) = 2.76 states/eV/f.u.

---

Energy ordering: <B> at the bottom, the next structure 246 meV per atom above.

---

<A>
A plane-wave DFT calculation with GGA-PBEsol was carried out for crystalline Be2FeNi at its relaxed geometry. Values from VASP.

Quantum ESPRESSO input file:
```
&SYSTEM
  ibrav = 0, nat = 4, ntyp = 3
/
ATOMIC_SPECIES
Be 9.01 Be.upf
Fe 55.84 Fe.upf
Ni 58.69 Ni.upf
CELL_PARAMETERS angstrom
2.517 0.000 0.000
0.000 2.517 0.000
0.000 0.000 5.662
ATOMIC_POSITIONS crystal
Be 0.000 0.000 0.000
Be 0.500 0.500 0.222
Fe 0.000 0.000 0.472
Ni 0.500 0.500 0.772
```

D(E_F) = 1.57 states/eV/f.u.

---

<B>
A plane-wave DFT calculation with GGA-PBEsol was carried out for crystalline Be2FeNi at its relaxed geometry. Values from VASP.

Quantum ESPRESSO input file:
```
&SYSTEM
  ibrav = 0, nat = 4, ntyp = 3
/
ATOMIC_SPECIES
Be 9.01 Be.upf
Fe 55.84 Fe.upf
Ni 58.69 Ni.upf
CELL_PARAMETERS angstrom
3.707 0.000 0.000
0.000 3.707 0.000
0.000 0.000 2.526
ATOMIC_POSITIONS crystal
Be 0.000 0.500 0.000
Be 0.500 0.000 0.000
Fe 0.000 0.000 0.500
Ni 0.500 0.500 0.500
```

D(E_F) = 1.99 states/eV/f.u.

---

Energy ordering: <B> at the bottom, the next structure 136 meV per atom above.

---

<A>
A plane-wave DFT calculation with GGA-PBEsol was carried out for crystalline Be2FeOs at its relaxed geometry. Values from VASP.

Quantum ESPRESSO input file:
```
&SYSTEM
  ibrav = 0, nat = 4, ntyp = 3
/
ATOMIC_SPECIES
Be 9.01 Be.upf
Fe 55.84 Fe.upf
Os 190.23 Os.upf
CELL_PARAMETERS angstrom
2.681 0.000 0.000
0.000 2.681 0.000
0.000 0.000 5.472
ATOMIC_POSITIONS crystal
Be 0.000 0.000 0.000
Be 0.500 0.500 0.200
Fe 0.000 0.000 0.434
Os 0.500 0.500 0.723
```

D(E_F) = 1.03 states/eV/f.u.

---

<B>
A plane-wave DFT calculation with GGA-PBEsol was carried out for crystalline Be2FeOs at its relaxed geometry. Values from VASP.

Quantum ESPRESSO input file:
```
&SYSTEM
  ibrav = 0, nat = 4, ntyp = 3
/
ATOMIC_SPECIES
Be 9.01 Be.upf
Fe 55.84 Fe.upf
Os 190.23 Os.upf
CELL_PARAMETERS angstrom
-1.388 1.861 3.826
1.388 -1.861 3.826
1.388 1.861 -3.826
ATOMIC_POSITIONS crystal
Be 0.000 0.000 0.000
Be 0.772 0.272 0.500
Fe 0.248 0.748 0.500
Os 0.512 0.512 0.000
```

D(E_F) = 2.99 states/eV/f.u.

---

<C>
A plane-wave DFT calculation with GGA-PBEsol was carried out for crystalline Be2FeOs at its relaxed geometry. Values from VASP.

Quantum ESPRESSO input file:
```
&SYSTEM
  ibrav = 0, nat = 4, ntyp = 3
/
ATOMIC_SPECIES
Be 9.01 Be.upf
Fe 55.84 Fe.upf
Os 190.23 Os.upf
CELL_PARAMETERS angstrom
1.414 -2.084 0.000
1.414 2.084 0.000
0.000 0.000 7.241
ATOMIC_POSITIONS crystal
Be 0.000 0.000 0.238
Be 0.000 0.000 0.762
Fe 0.500 0.500 0.000
Os 0.500 0.500 0.500
```

D(E_F) = 2.70 states/eV/f.u.

---

<D>
A plane-wave DFT calculation with GGA-PBEsol was carried out for crystalline Be2FeOs at its relaxed geometry. Values from VASP.

Quantum ESPRESSO input file:
```
&SYSTEM
  ibrav = 0, nat = 4, ntyp = 3
/
ATOMIC_SPECIES
Be 9.01 Be.upf
Fe 55.84 Fe.upf
Os 190.23 Os.upf
CELL_PARAMETERS angstrom
3.018 0.000 0.000
0.000 3.526 0.000
0.000 0.000 3.934
ATOMIC_POSITIONS crystal
Be 0.000 0.000 0.000
Be 0.500 0.000 0.500
Fe 0.000 0.500 0.500
Os 0.500 0.500 0.000
```

D(E_F) = 1.98 states/eV/f.u.

---

Energy ordering: <A> at the bottom, the next structure 94 meV per atom above.

---

<A>
A plane-wave DFT calculation with GGA-PBEsol was carried out for crystalline BeFe2Pb at its relaxed geometry. Values from VASP.

Quantum ESPRESSO input file:
```
&SYSTEM
  ibrav = 0, nat = 4, ntyp = 3
/
ATOMIC_SPECIES
Be 9.01 Be.upf
Fe 55.84 Fe.upf
Pb 207.20 Pb.upf
CELL_PARAMETERS angstrom
3.684 0.000 0.000
0.000 3.684 0.000
0.000 0.000 3.921
ATOMIC_POSITIONS crystal
Be 0.000 0.000 0.000
Fe 0.000 0.500 0.500
Fe 0.500 0.000 0.500
Pb 0.500 0.500 0.000
```

D(E_F) = 3.95 states/eV/f.u.

---

<B>
A plane-wave DFT calculation with GGA-PBEsol was carried out for crystalline BeFe2Pb at its relaxed geometry. Values from VASP.

Quantum ESPRESSO input file:
```
&SYSTEM
  ibrav = 0, nat = 4, ntyp = 3
/
ATOMIC_SPECIES
Be 9.01 Be.upf
Fe 55.84 Fe.upf
Pb 207.20 Pb.upf
CELL_PARAMETERS angstrom
2.974 0.000 0.000
0.000 2.974 0.000
0.000 0.000 6.261
ATOMIC_POSITIONS crystal
Be 0.000 0.000 0.000
Fe 0.500 0.500 0.176
Fe 0.500 0.500 0.824
Pb 0.000 0.000 0.500
```

D(E_F) = 2.99 states/eV/f.u.

---

Energy ordering: <B> at the bottom, the next structure 67 meV per atom above.

---

<A>
A plane-wave DFT calculation with GGA-PBEsol was carried out for crystalline BeFeRe at its relaxed geometry. Values from VASP.

Quantum ESPRESSO input file:
```
&SYSTEM
  ibrav = 0, nat = 3, ntyp = 3
/
ATOMIC_SPECIES
Be 9.01 Be.upf
Fe 55.84 Fe.upf
Re 186.21 Re.upf
CELL_PARAMETERS angstrom
2.618 0.000 0.000
-1.309 2.267 0.000
0.000 0.000 5.844
ATOMIC_POSITIONS crystal
Be 0.000 0.000 0.000
Fe 0.333 0.667 0.693
Re 0.667 0.333 0.351
```

D(E_F) = 2.55 states/eV/f.u.

---

<B>
A plane-wave DFT calculation with GGA-PBEsol was carried out for crystalline BeFeRe at its relaxed geometry. Values from VASP.

Quantum ESPRESSO input file:
```
&SYSTEM
  ibrav = 0, nat = 3, ntyp = 3
/
ATOMIC_SPECIES
Be 9.01 Be.upf
Fe 55.84 Fe.upf
Re 186.21 Re.upf
CELL_PARAMETERS angstrom
0.000 2.659 2.659
2.659 0.000 2.659
2.659 2.659 0.000
ATOMIC_POSITIONS crystal
Be 0.000 0.000 0.000
Fe 0.750 0.750 0.750
Re 0.500 0.500 0.500
```

D(E_F) = 2.96 states/eV/f.u.

---

Energy ordering: <A> at the bottom, the next structure 108 meV per atom above.